1.
The following is a PBE calculation of Sr2Hg9Pd6 after structural relaxation, from Alexandria.

Values from the calculation:
As for the crystal system: hexagonal. The calculation puts the formation energy at -0.246 eV/atom.

Lattice parameters (Å, degrees): 6.098 6.098 13.076 90.00 90.00 120.00
Element x y z (fractional)
Sr 0.000 0.000 0.171
Sr 0.000 0.000 0.829
Hg 0.000 0.500 0.000
Hg 0.000 0.500 0.337
Hg 0.000 0.500 0.663
Hg 0.500 0.000 0.000
Hg 0.500 0.000 0.337
Hg 0.500 0.000 0.663
Hg 0.500 0.500 0.000
Hg 0.500 0.500 0.337
Hg 0.500 0.500 0.663
Pd 0.333 0.667 0.169
Pd 0.333 0.667 0.500
Pd 0.333 0.667 0.831
Pd 0.667 0.333 0.169
Pd 0.667 0.333 0.500
Pd 0.667 0.333 0.831



2.
The following is a PBE calculation of YOs2Cl after structural relaxation, from Alexandria.

Values from the calculation:
The calculation puts the energy above the most stable polymorph in this dataset at 1105 meV per atom. As for the crystal system: orthorhombic. The raw formation energy is 0.89 eV/atom.

Lattice parameters (Å, degrees): 2.960 2.960 9.028 90.00 90.00 116.79
Element x y z (fractional)
Y 0.000 0.000 0.000
Os 0.500 0.500 0.259
Os 0.500 0.500 0.741
Cl 0.000 0.000 0.500



3.
The following is a PBE calculation of MnZn4Ni15 after structural relaxation, from Alexandria.

Values from the calculation:
As for the crystal system: tetragonal. The calculation puts the formation energy at -0.108 eV/atom.

Lattice parameters (Å, degrees): 3.578 3.578 17.830 90.00 90.00 90.00
Element x y z (fractional)
Mn 0.000 0.000 0.000
Zn 0.000 0.000 0.200
Zn 0.000 0.000 0.400
Zn 0.000 0.000 0.600
Zn 0.000 0.000 0.800
Ni 0.000 0.500 0.099
Ni 0.000 0.500 0.300
Ni 0.000 0.500 0.500
Ni 0.000 0.500 0.700
Ni 0.000 0.500 0.901
Ni 0.500 0.000 0.099
Ni 0.500 0.000 0.300
Ni 0.500 0.000 0.500
Ni 0.500 0.000 0.700
Ni 0.500 0.000 0.901
Ni 0.500 0.500 0.000
Ni 0.500 0.500 0.199
Ni 0.500 0.500 0.400
Ni 0.500 0.500 0.600
Ni 0.500 0.500 0.801



4.
The following is a PBE calculation of PmSm4Ga2 after structural relaxation, from Alexandria.

Values from the calculation:
As for the crystal system: trigonal. The calculation puts the formation energy at -0.096 eV/atom.

Lattice parameters (Å, degrees): 10.549 10.549 10.549 27.61 27.61 27.61
Element x y z (fractional)
Pm 0.000 0.000 0.000
Sm 0.202 0.202 0.202
Sm 0.397 0.397 0.397
Sm 0.603 0.603 0.603
Sm 0.798 0.798 0.798
Ga 0.100 0.100 0.100
Ga 0.900 0.900 0.900



5.
The following is a PBE calculation of ZnTcRh2 after structural relaxation, from Alexandria.

Values from the calculation:
As for the crystal system: tetragonal. The calculation puts the formation energy at -0.103 eV/atom.

Lattice parameters (Å, degrees): 4.655 4.655 4.655 130.60 130.60 72.45
Element x y z (fractional)
Zn 0.000 0.000 0.000
Tc 0.500 0.500 0.000
Rh 0.250 0.750 0.500
Rh 0.750 0.250 0.500



6.
The following is a PBE calculation of MnMoAu2 after structural relaxation, from Alexandria.

Values from the calculation:
The calculation puts the energy above the most stable polymorph in this dataset at 1473 meV per atom. As for the crystal system: tetragonal. The calculation puts the formation energy at 1.607 eV/atom.

Lattice parameters (Å, degrees): 6.938 6.938 6.938 131.79 131.79 70.56
Element x y z (fractional)
Mn 0.000 0.000 0.000
Mn 0.750 0.250 0.500
Mo 0.250 0.750 0.500
Mo 0.500 0.500 0.000
Au 0.105 0.625 0.980
Au 0.375 0.355 0.480
Au 0.645 0.125 0.020
Au 0.875 0.895 0.520



7.
The following is a PBE calculation of Pr2Sm3Th4 after structural relaxation, from Alexandria.

Values from the calculation:
As for the crystal system: monoclinic. The calculation puts the formation energy at 0.073 eV/atom.

Lattice parameters (Å, degrees): 9.603 9.603 9.860 114.91 114.91 21.75
Element x y z (fractional)
Pr 0.164 0.164 0.002
Pr 0.836 0.836 0.998
Sm 0.354 0.354 0.335
Sm 0.500 0.500 0.000
Sm 0.646 0.646 0.665
Th 0.025 0.025 0.338
Th 0.316 0.316 0.658
Th 0.684 0.684 0.342
Th 0.975 0.975 0.662



8.
The following is a PBE calculation of FeReS2 after structural relaxation, from Alexandria.

Values from the calculation:
The calculation puts the energy above the most stable polymorph in this dataset at 314 meV per atom. As for the crystal system: cubic. The raw formation energy is 0.30 eV/atom.

Lattice parameters (Å, degrees): 4.128 4.128 4.128 60.00 60.00 60.00
Element x y z (fractional)
Fe 0.000 0.000 0.000
Re 0.500 0.500 0.500
S 0.250 0.250 0.250
S 0.750 0.750 0.750



9.
The following is a PBE calculation of Cs2SnTe2 after structural relaxation, from Alexandria.

Values from the calculation:
The calculation puts the energy above the most stable polymorph in this dataset at 0 meV per atom. As for the crystal system: orthorhombic. The raw formation energy is -0.71 eV/atom.

Lattice parameters (Å, degrees): 7.419 7.419 14.994 90.00 90.00 145.02
Element x y z (fractional)
Cs 0.076 0.924 0.500
Cs 0.335 0.665 0.696
Cs 0.665 0.335 0.196
Cs 0.924 0.076 0.000
Sn 0.329 0.671 0.344
Sn 0.671 0.329 0.844
Te 0.044 0.956 0.767
Te 0.198 0.802 0.989
Te 0.802 0.198 0.489
Te 0.956 0.044 0.267



10.
The following is a PBE calculation of AgHgPt after structural relaxation, from Alexandria.

Values from the calculation:
The calculation puts the energy above the most stable polymorph in this dataset at 15 meV per atom. As for the crystal system: tetragonal. The calculation puts the formation energy at 0.049 eV/atom.

Lattice parameters (Å, degrees): 6.477 6.477 6.477 153.37 153.37 38.01
Element x y z (fractional)
Ag 0.000 0.000 0.000
Hg 0.678 0.678 0.000
Pt 0.341 0.341 0.000



11.
The following is a PBE calculation of BaSr2Sb after structural relaxation, from Alexandria.

Values from the calculation:
As for the crystal system: monoclinic. The raw formation energy is -0.45 eV/atom.

Lattice parameters (Å, degrees): 4.849 4.846 7.660 90.00 99.53 90.00
Element x y z (fractional)
Ba 0.000 0.000 0.000
Sr 0.402 0.500 0.711
Sr 0.598 0.500 0.289
Sb 0.000 0.000 0.500



12.
The following is a PBE calculation of LiPt4 after structural relaxation, from Alexandria.

Values from the calculation:
The calculation puts the energy above the most stable polymorph in this dataset at 0 meV per atom. As for the crystal system: tetragonal. The calculation puts the formation energy at -0.289 eV/atom.

Lattice parameters (Å, degrees): 4.773 4.773 4.773 99.85 99.85 131.15
Element x y z (fractional)
Li 0.000 0.000 0.000
Pt 0.200 0.606 0.806
Pt 0.394 0.200 0.594
Pt 0.606 0.800 0.406
Pt 0.800 0.394 0.194



13.
The following is a PBE calculation of ZrReW2 after structural relaxation, from Alexandria.

Values from the calculation:
The calculation puts the energy above the most stable polymorph in this dataset at 13 meV per atom. As for the crystal system: tetragonal. The calculation puts the formation energy at -0.043 eV/atom.

Lattice parameters (Å, degrees): 3.220 3.220 6.598 90.00 90.00 90.00
Element x y z (fractional)
Zr 0.000 0.000 0.000
Re 0.500 0.500 0.265
W 0.000 0.000 0.496
W 0.500 0.500 0.732



14.
The following is a PBE calculation of AlCu2SbH after structural relaxation, from Alexandria.

Values from the calculation:
As for the crystal system: tetragonal.

Lattice parameters (Å, degrees): 4.596 4.596 5.257 90.00 90.00 90.00
Element x y z (fractional)
Al 0.000 0.000 0.000
Cu 0.000 0.500 0.000
Cu 0.500 0.000 0.000
Sb 0.000 0.000 0.500
H 0.500 0.500 0.500



15.
The following is a PBE calculation of TiBe3Se after structural relaxation, from Alexandria.

Values from the calculation:
The calculation puts the energy above the most stable polymorph in this dataset at 612 meV per atom. As for the crystal system: cubic. The raw formation energy is 1.60 eV/atom.

Lattice parameters (Å, degrees): 4.540 4.540 4.540 90.00 90.00 90.00
Element x y z (fractional)
Ti 0.000 0.000 0.000
Be 0.000 0.000 0.500
Be 0.000 0.500 0.000
Be 0.500 0.000 0.000
Se 0.500 0.500 0.500



16.
The following is a PBE calculation of Cd2SiSe after structural relaxation, from Alexandria.

Values from the calculation:
The calculation puts the energy above the most stable polymorph in this dataset at 71 meV per atom. As for the crystal system: tetragonal. The raw formation energy is 0.15 eV/atom.

Lattice parameters (Å, degrees): 7.102 7.102 7.102 125.72 125.72 80.35
Element x y z (fractional)
Cd 0.117 0.625 0.992
Cd 0.375 0.367 0.492
Cd 0.633 0.125 0.008
Cd 0.875 0.883 0.508
Si 0.000 0.000 0.000
Si 0.750 0.250 0.500
Se 0.250 0.750 0.500
Se 0.500 0.500 0.000



17.
The following is a PBE calculation of BaBeRh2 after structural relaxation, from Alexandria.

Values from the calculation:
As for the crystal system: monoclinic. The calculation puts the formation energy at 0.545 eV/atom.

Lattice parameters (Å, degrees): 4.718 3.229 5.240 90.00 111.30 90.00
Element x y z (fractional)
Ba 0.000 0.000 0.000
Be 0.000 0.500 0.500
Rh 0.500 0.000 0.500
Rh 0.500 0.500 0.000



18.
The following is a PBE calculation of DyHo2Th6 after structural relaxation, from Alexandria.

Values from the calculation:
As for the crystal system: monoclinic. The calculation puts the formation energy at 0.127 eV/atom.

Lattice parameters (Å, degrees): 9.979 9.979 3.581 94.39 94.39 124.91
Element x y z (fractional)
Dy 0.000 0.000 0.000
Ho 0.166 0.834 0.500
Ho 0.834 0.166 0.500
Th 0.167 0.502 0.180
Th 0.338 0.338 0.681
Th 0.498 0.833 0.820
Th 0.502 0.167 0.180
Th 0.662 0.662 0.319
Th 0.833 0.498 0.820



19.
The following is a PBE calculation of Ac2Ni2Ge after structural relaxation, from Alexandria.

Values from the calculation:
The calculation puts the energy above the most stable polymorph in this dataset at 3 meV per atom. As for the crystal system: monoclinic. The calculation puts the formation energy at -0.415 eV/atom.

Lattice parameters (Å, degrees): 5.749 5.749 8.118 102.83 102.83 60.16
Element x y z (fractional)
Ac 0.005 0.291 0.150
Ac 0.291 0.005 0.650
Ac 0.709 0.995 0.350
Ac 0.995 0.709 0.850
Ni 0.235 0.496 0.504
Ni 0.496 0.235 0.004
Ni 0.504 0.765 0.996
Ni 0.765 0.504 0.496
Ge 0.360 0.640 0.250
Ge 0.640 0.360 0.750



20.
The following is a PBE calculation of Mg5NiHg after structural relaxation, from Alexandria.

Values from the calculation:
As for the crystal system: tetragonal. The calculation puts the formation energy at -0.126 eV/atom.

Lattice parameters (Å, degrees): 4.423 4.423 7.250 90.00 90.00 90.00
Element x y z (fractional)
Mg 0.000 0.000 0.000
Mg 0.000 0.500 0.301
Mg 0.000 0.500 0.699
Mg 0.500 0.000 0.301
Mg 0.500 0.000 0.699
Ni 0.000 0.000 0.500
Hg 0.500 0.500 0.000



21.
The following is a PBE calculation of Dy2PtS after structural relaxation, from Alexandria.

Values from the calculation:
The calculation puts the energy above the most stable polymorph in this dataset at 137 meV per atom. As for the crystal system: trigonal. The raw formation energy is -1.48 eV/atom.

Lattice parameters (Å, degrees): 7.409 7.409 7.409 30.85 30.85 30.85
Element x y z (fractional)
Dy 0.000 0.000 0.000
Dy 0.178 0.178 0.178
Pt 0.589 0.589 0.589
S 0.421 0.421 0.421



22.
The following is a PBE calculation of Pm2Pa3N8 after structural relaxation, from Alexandria.

Values from the calculation:
The calculation puts the energy above the most stable polymorph in this dataset at 0 meV per atom. As for the crystal system: monoclinic. The raw formation energy is -1.26 eV/atom.

Lattice parameters (Å, degrees): 6.780 3.591 9.202 90.00 90.01 90.00
Element x y z (fractional)
Pm 0.199 0.000 0.359
Pm 0.801 0.000 0.641
Pa 0.000 0.000 0.000
Pa 0.258 0.500 0.725
Pa 0.742 0.500 0.275
N 0.053 0.500 0.173
N 0.149 0.000 0.603
N 0.275 0.000 0.876
N 0.437 0.500 0.445
N 0.563 0.500 0.555
N 0.725 0.000 0.124
N 0.851 0.000 0.397
N 0.947 0.500 0.827



23.
The following is a PBE calculation of K4MoOs after structural relaxation, from Alexandria.

Values from the calculation:
As for the crystal system: cubic. The calculation puts the formation energy at 1.908 eV/atom.

Lattice parameters (Å, degrees): 6.687 6.687 6.687 60.00 60.00 60.00
Element x y z (fractional)
K 0.376 0.376 0.376
K 0.376 0.376 0.871
K 0.376 0.871 0.376
K 0.871 0.376 0.376
Mo 0.000 0.000 0.000
Os 0.750 0.750 0.750



Number 1: total moment 0.0 μB/f.u., electronic total energy -2.436 eV per atom. Number 2: total moment 0.0 μB/f.u., electronic total energy -6.807 eV per atom. Number 3: total moment 9.3 μB/f.u., electronic total energy -5.157 eV per atom. Number 4: total moment 0.0 μB/f.u., electronic total energy -4.337 eV per atom. Number 5: total moment 1.3 μB/f.u., electronic total energy -6.689 eV per atom. Number 6: total moment 0.0 μB/f.u., electronic total energy -5.032 eV per atom. Number 7: total moment 0.0 μB/f.u., electronic total energy -5.860 eV per atom. Number 8: total moment 0.0 μB/f.u., electronic total energy -6.996 eV per atom. Number 9: total moment 0.0 μB/f.u., electronic total energy -3.108 eV per atom. Number 10: total moment 0.0 μB/f.u., electronic total energy -3.016 eV per atom. Number 11: total moment 0.0 μB/f.u., electronic total energy -2.803 eV per atom. Number 12: total moment 0.0 μB/f.u., electronic total energy -5.504 eV per atom. Number 13: total moment 0.0 μB/f.u., electronic total energy -11.768 eV per atom. Number 14: total moment 0.5 μB/f.u., electronic total energy -2.819 eV per atom. Number 15: total moment 0.0 μB/f.u., electronic total energy -2.907 eV per atom. Number 16: total moment 0.0 μB/f.u., electronic total energy -2.536 eV per atom. Number 17: total moment 0.0 μB/f.u., electronic total energy -4.542 eV per atom. Number 18: total moment 0.0 μB/f.u., electronic total energy -6.348 eV per atom. Number 19: total moment 0.0 μB/f.u., electronic total energy -5.295 eV per atom. Number 20: total moment 0.0 μB/f.u., electronic total energy -2.134 eV per atom. Number 21: total moment 0.0 μB/f.u., electronic total energy -6.325 eV per atom. Number 22: total moment 0.9 μB/f.u., electronic total energy -9.307 eV per atom. Number 23: total moment 7.1 μB/f.u., electronic total energy -2.501 eV per atom.